Computed, not measured: a relaxed Ac2MnZn2O6 crystal at the PBE+U level of DFT.

Cell and atoms, written as extended XYZ:
```
11
Lattice="2.987 1.725 5.543 -2.987 1.725 5.543 0.000 -3.449 5.543" Properties=species:S:1:pos:R:3 pbc="T T T"
Ac 0.000 0.000 3.432
Ac 0.000 0.000 13.198
Mn 0.000 0.000 0.000
Zn 0.000 0.000 7.008
Zn 0.000 0.000 9.621
O -1.624 -0.938 9.545
O 0.000 -1.876 7.084
O -1.624 0.938 7.084
O 1.624 -0.938 9.545
O 0.000 1.876 9.545
O 1.624 0.938 7.084
```

Summary:
The space group is R-3m. As for the total energy: -70.7 eV/f.u.